# 1
A relaxed structure of RbTl2PbI4. Source: Alexandria via LeMat-Bulk, functional PBE-GGA.

Properties
- symmetry = No. 22
- density (g/cm³) = 5.5
- total energy (eV/atom) = -2.649

Cell lengths 7.152, 7.152, 8.699 Å; angles 114.25, 114.25, 90.06 degrees
Fractional positions:
Tl (0.250, 0.750, 0.500)
Tl (0.000, 0.000, 0.000)
Rb (0.500, 0.500, 0.000)
I (0.755, 0.755, 0.510)
I (0.513, 0.013, 0.026)
I (0.245, 0.245, 0.490)
I (0.987, 0.487, 0.974)
Pb (0.750, 0.250, 0.500)

=====

# 2
A relaxed structure of BaBi2Mo. Source: Alexandria via LeMat-Bulk, functional PBE-GGA.

Properties
- symmetry = No. 225
- density (g/cm³) = 9.0
- DFT formation energy (eV/atom) = 0.34
- energy relative to the lowest polymorph listed for this composition (eV/atom) = 0.000

Cell lengths 5.531, 5.531, 5.531 Å; angles 60.00, 60.00, 60.00 degrees
Fractional positions:
Ba (0.500, 0.500, 0.500)
Mo (0.000, 0.000, 0.000)
Bi (0.250, 0.250, 0.250)
Bi (0.750, 0.750, 0.750)

=====

# 3
A relaxed structure of Sm2Zn5Ag5. Source: Alexandria via LeMat-Bulk, functional PBE-GGA.

Properties
- symmetry = No. 47
- density (g/cm³) = 8.4
- DFT formation energy (eV/atom) = -0.24
- energy relative to the lowest polymorph listed for this composition (eV/atom) = 0.000

Cell lengths 4.545, 5.345, 9.505 Å; angles 90.00, 90.00, 90.00 degrees
Fractional positions:
Zn (0.500, 0.750, 0.747)
Sm (0.000, 0.000, 0.500)
Zn (0.500, 0.250, 0.747)
Ag (0.000, 0.000, 0.176)
Ag (0.000, 0.000, 0.824)
Zn (0.500, 0.250, 0.253)
Ag (0.000, 0.500, 0.334)
Ag (0.500, 0.000, 0.000)
Zn (0.500, 0.500, 0.500)
Sm (0.000, 0.500, 0.000)
Zn (0.500, 0.750, 0.253)
Ag (0.000, 0.500, 0.666)

=====

# 4
A relaxed structure of ErThZr. Source: Alexandria via LeMat-Bulk, functional PBE-GGA.

Properties
- symmetry = No. 107
- density (g/cm³) = 9.5
- DFT formation energy (eV/atom) = 0.09
- energy relative to the lowest polymorph listed for this composition (eV/atom) = 0.000

Cell lengths 3.383, 3.383, 7.840 Å; angles 102.46, 102.46, 90.00 degrees
Fractional positions:
Zr (0.668, 0.668, 0.336)
Th (0.007, 0.007, 0.013)
Er (0.325, 0.325, 0.651)

=====

# 5
A relaxed structure of ScPdO2F. Source: Alexandria via LeMat-Bulk, functional PBE-GGA.

Properties
- symmetry = No. 123
- density (g/cm³) = 4.9
- total energy (eV/atom) = -6.357

Cell lengths 4.136, 4.136, 3.973 Å; angles 90.00, 90.00, 90.00 degrees
Fractional positions:
O (0.000, 0.500, 0.000)
F (0.000, 0.000, 0.500)
O (0.500, 0.000, 0.000)
Sc (0.000, 0.000, 0.000)
Pd (0.500, 0.500, 0.500)

=====

# 6
A relaxed structure of Sm2Dy6Mg. Source: Alexandria via LeMat-Bulk, functional PBE-GGA.

Properties
- symmetry = No. 55
- density (g/cm³) = 7.6
- DFT formation energy (eV/atom) = 0.05
- energy relative to the lowest polymorph listed for this composition (eV/atom) = 0.029

Cell lengths 6.480, 5.542, 16.784 Å; angles 109.30, 90.00, 90.00 degrees
Fractional positions:
Dy (0.753, 0.945, 0.945)
Dy (0.410, 0.693, 0.193)
Dy (0.579, 0.094, 0.595)
Sm (0.770, 0.693, 0.693)
Sm (0.230, 0.307, 0.307)
Dy (0.090, 0.193, 0.693)
Dy (0.079, 0.406, 0.905)
Dy (0.247, 0.055, 0.055)
Sm (0.270, 0.807, 0.807)
Dy (0.421, 0.906, 0.405)
Dy (0.910, 0.807, 0.307)
Dy (0.747, 0.445, 0.445)
Mg (0.000, 0.000, 0.500)
Dy (0.590, 0.307, 0.807)
Mg (0.500, 0.500, 0.000)
Sm (0.730, 0.193, 0.193)
Dy (0.921, 0.594, 0.095)
Dy (0.253, 0.555, 0.555)